This record from Alexandria describes crystalline Tb2DyTmSc2 at its relaxed geometry. The functional is PBE.

Results
VASP energy   -30.58 eV/f.u.
V   348.3 Å³/cell
DFT formation energy   0.0695 eV per atom

Lattice parameters (Å, degrees): 6.8565 9.3613 5.4259 90.00 90.00 90.00
Atoms (fractional coordinates):
Tb1 0.2488 0.1670 0.0000
Tb2 0.2512 0.6670 0.5000
Tb3 0.7488 0.3330 0.5000
Tb4 0.7512 0.8330 0.0000
Dy1 0.0000 0.5000 0.0000
Dy2 0.5000 0.0000 0.5000
Tm1 0.0000 0.0000 0.5000
Tm2 0.5000 0.5000 0.0000
Sc1 0.2501 0.3335 0.5000
Sc2 0.2499 0.8335 0.0000
Sc3 0.7501 0.1665 0.0000
Sc4 0.7499 0.6665 0.5000

This record from Alexandria describes crystalline Tb2DyTmSc5 at its relaxed geometry. The functional is PBE.

Results
VASP energy   -48.50 eV/f.u.
V   506.6 Å³/cell
DFT formation energy   0.1652 eV per atom

Lattice parameters (Å, degrees): 9.6226 9.6226 10.2984 90.00 90.00 147.91
Atoms (fractional coordinates):
Tb1 0.1093 0.8907 0.5000
Tb2 0.1128 0.8872 0.0913
Tb3 0.8872 0.1128 0.5913
Tb4 0.8907 0.1093 0.0000
Dy1 0.4177 0.5823 0.2299
Dy2 0.5823 0.4177 0.7299
Tm1 0.2066 0.7934 0.7795
Tm2 0.7934 0.2066 0.2795
Sc1 0.0204 0.9796 0.8001
Sc2 0.2858 0.7142 0.0708
Sc3 0.2991 0.7009 0.4810
Sc4 0.3963 0.6037 0.7904
Sc5 0.4792 0.5208 0.5041
Sc6 0.5208 0.4792 0.0041
Sc7 0.6037 0.3963 0.2904
Sc8 0.7009 0.2991 0.9810
Sc9 0.7142 0.2858 0.5708
Sc10 0.9796 0.0204 0.3001

This record from Alexandria describes crystalline TbDy2Tm6Sc at its relaxed geometry. The functional is PBE.

Results
VASP energy   -45.72 eV/f.u.
V   605.5 Å³/cell
DFT formation energy   0.1274 eV per atom

Lattice parameters (Å, degrees): 8.5857 8.5857 9.3372 93.93 93.93 117.44
Atoms (fractional coordinates):
Tb1 0.0219 0.9781 0.7500
Tb2 0.9781 0.0219 0.2500
Dy1 0.2000 0.3045 0.5472
Dy2 0.3045 0.2000 0.0472
Dy3 0.6955 0.8000 0.9528
Dy4 0.8000 0.6955 0.4528
Tm1 0.0100 0.5669 0.6888
Tm2 0.1278 0.7505 0.0572
Tm3 0.2495 0.8722 0.4428
Tm4 0.2921 0.5056 0.8839
Tm5 0.4331 0.9900 0.8112
Tm6 0.4944 0.7079 0.6161
Tm7 0.5056 0.2921 0.3839
Tm8 0.5669 0.0100 0.1888
Tm9 0.7079 0.4944 0.1161
Tm10 0.7505 0.1278 0.5572
Tm11 0.8722 0.2495 0.9428
Tm12 0.9900 0.4331 0.3112
Sc1 0.4120 0.5880 0.2500
Sc2 0.5880 0.4120 0.7500

This record from Alexandria describes crystalline TbDyTm2Sc5 at its relaxed geometry. The functional is PBE.

Results
VASP energy   -48.29 eV/f.u.
V   503.7 Å³/cell
DFT formation energy   0.1710 eV per atom

Lattice parameters (Å, degrees): 9.6331 9.6331 10.2407 90.00 90.00 147.99
Atoms (fractional coordinates):
Tb1 0.2078 0.7922 0.5000
Tb2 0.7922 0.2078 0.0000
Dy1 0.4180 0.5820 0.9470
Dy2 0.5820 0.4180 0.4470
Tm1 0.1080 0.8920 0.2219
Tm2 0.1128 0.8872 0.8136
Tm3 0.8872 0.1128 0.3136
Tm4 0.8920 0.1080 0.7219
Sc1 0.0207 0.9793 0.5214
Sc2 0.2859 0.7141 0.7903
Sc3 0.2988 0.7012 0.2003
Sc4 0.3984 0.6016 0.5128
Sc5 0.4778 0.5222 0.2237
Sc6 0.5222 0.4778 0.7237
Sc7 0.6016 0.3984 0.0128
Sc8 0.7012 0.2988 0.7003
Sc9 0.7141 0.2859 0.2903
Sc10 0.9793 0.0207 0.0214

This record from Alexandria describes crystalline TbDy2Tm4Sc at its relaxed geometry. The functional is PBE.

Results
VASP energy   -37.77 eV/f.u.
V   238.8 Å³/cell
DFT formation energy   0.0347 eV per atom

Lattice parameters (Å, degrees): 4.9234 4.9234 9.8500 90.00 90.00 90.00
Atoms (fractional coordinates):
Tb1 0.0000 0.0000 0.0000
Dy1 0.0000 0.0000 0.5000
Dy2 0.5000 0.5000 0.0000
Tm1 0.0000 0.5000 0.2547
Tm2 0.0000 0.5000 0.7453
Tm3 0.5000 0.0000 0.2547
Tm4 0.5000 0.0000 0.7453
Sc1 0.5000 0.5000 0.5000

This record from Alexandria describes crystalline Tb6DyTm3Sc2 at its relaxed geometry. The functional is PBE.

Results
VASP energy   -58.03 eV/f.u.
V   360.2 Å³/cell
DFT formation energy   0.0356 eV per atom

Lattice parameters (Å, degrees): 6.0556 6.0556 11.5144 95.02 95.02 119.95
Atoms (fractional coordinates):
Tb1 0.0817 0.4174 0.7539
Tb2 0.2468 0.2468 0.2462
Tb3 0.4174 0.0817 0.7539
Tb4 0.5826 0.9183 0.2461
Tb5 0.7532 0.7532 0.7538
Tb6 0.9183 0.5826 0.2461
Dy1 0.5000 0.5000 0.0000
Tm1 0.0000 0.0000 0.5000
Tm2 0.3331 0.6669 0.5000
Tm3 0.6669 0.3331 0.5000
Sc1 0.1666 0.8334 0.0000
Sc2 0.8334 0.1666 0.0000

This record from Alexandria describes crystalline TbDyTmSc at its relaxed geometry. The functional is PBE.

Results
VASP energy   -19.57 eV/f.u.
V   118.5 Å³/cell
DFT formation energy   0.1158 eV per atom
Energy above the lowest structure with this stoichiometry   13 meV/atom

Lattice parameters (Å, degrees): 5.5137 5.5137 5.5137 60.00 60.00 60.00
Atoms (fractional coordinates):
Tb1 0.0000 0.0000 0.0000
Dy1 0.5000 0.5000 0.5000
Tm1 0.7500 0.7500 0.7500
Sc1 0.2500 0.2500 0.2500

This record from Alexandria describes crystalline Tb2Dy6Tm3Sc at its relaxed geometry. The functional is PBE.

Results
VASP energy   -56.29 eV/f.u.
V   365.8 Å³/cell
DFT formation energy   0.0275 eV per atom

Lattice parameters (Å, degrees): 6.0744 6.0744 11.6199 94.99 94.99 119.96
Atoms (fractional coordinates):
Tb1 0.1666 0.8334 0.0000
Tb2 0.8334 0.1666 0.0000
Dy1 0.0863 0.4172 0.7505
Dy2 0.2518 0.2518 0.2497
Dy3 0.4172 0.0863 0.7505
Dy4 0.5828 0.9137 0.2495
Dy5 0.7482 0.7482 0.7503
Dy6 0.9137 0.5828 0.2495
Tm1 0.0000 0.0000 0.5000
Tm2 0.3336 0.6664 0.5000
Tm3 0.6664 0.3336 0.5000
Sc1 0.5000 0.5000 0.0000

This record from Alexandria describes crystalline TbDyTm3Sc at its relaxed geometry. The functional is PBE.

Results
VASP energy   -28.75 eV/f.u.
V   355.0 Å³/cell
DFT formation energy   0.0373 eV per atom

Lattice parameters (Å, degrees): 7.7690 7.7690 9.8093 90.00 90.00 143.16
Atoms (fractional coordinates):
Tb1 0.0017 0.9983 0.7500
Tb2 0.9983 0.0017 0.2500
Dy1 0.5000 0.5000 0.0000
Dy2 0.5000 0.5000 0.5000
Tm1 0.1679 0.8321 0.9996
Tm2 0.1679 0.8321 0.5004
Tm3 0.3308 0.6692 0.7500
Tm4 0.6692 0.3308 0.2500
Tm5 0.8321 0.1679 0.0004
Tm6 0.8321 0.1679 0.4996
Sc1 0.3322 0.6678 0.2500
Sc2 0.6678 0.3322 0.7500

This record from Alexandria describes crystalline Tb2Dy6TmSc3 at its relaxed geometry. The functional is PBE.

Results
VASP energy   -59.82 eV/f.u.
V   354.7 Å³/cell
DFT formation energy   0.0429 eV per atom

Lattice parameters (Å, degrees): 6.0299 6.0299 11.4355 95.04 95.04 119.96
Atoms (fractional coordinates):
Tb1 0.1667 0.8333 0.0000
Tb2 0.8333 0.1667 0.0000
Dy1 0.0804 0.4135 0.7413
Dy2 0.2534 0.2534 0.2589
Dy3 0.4135 0.0804 0.7413
Dy4 0.5865 0.9196 0.2587
Dy5 0.7466 0.7466 0.7411
Dy6 0.9196 0.5865 0.2587
Tm1 0.5000 0.5000 0.0000
Sc1 0.0000 0.0000 0.5000
Sc2 0.3334 0.6666 0.5000
Sc3 0.6666 0.3334 0.5000

This record from Alexandria describes crystalline TbDy2TmSc at its relaxed geometry. The functional is PBE.

Results
VASP energy   -22.71 eV/f.u.
V   314.5 Å³/cell
DFT formation energy   0.3857 eV per atom

Lattice parameters (Å, degrees): 8.5438 8.5438 6.2957 90.00 90.00 136.82
Atoms (fractional coordinates):
Tb1 0.1601 0.8399 0.7500
Tb2 0.8399 0.1601 0.2500
Dy1 0.2515 0.2515 0.0000
Dy2 0.2515 0.2515 0.5000
Dy3 0.7485 0.7485 0.0000
Dy4 0.7485 0.7485 0.5000
Tm1 0.2498 0.7502 0.2500
Tm2 0.7502 0.2498 0.7500
Sc1 0.3449 0.6551 0.7500
Sc2 0.6551 0.3449 0.2500

This record from Alexandria describes crystalline TbDy2Tm2Sc2 at its relaxed geometry. The functional is PBE.

Results
VASP energy   -34.68 eV/f.u.
V   206.8 Å³/cell
DFT formation energy   0.1086 eV per atom

Lattice parameters (Å, degrees): 5.8566 5.8566 11.4550 107.86 107.86 33.76
Atoms (fractional coordinates):
Tb1 0.0000 0.0000 0.0000
Dy1 0.3287 0.3287 0.4128
Dy2 0.6713 0.6713 0.5872
Tm1 0.4518 0.4518 0.7308
Tm2 0.5482 0.5482 0.2692
Sc1 0.2268 0.2268 0.8651
Sc2 0.7732 0.7732 0.1349

This record from Alexandria describes crystalline TbDy3Tm6Sc2 at its relaxed geometry. The functional is PBE.

Results
VASP energy   -57.47 eV/f.u.
V   354.4 Å³/cell
DFT formation energy   0.0379 eV per atom

Lattice parameters (Å, degrees): 6.0103 6.0103 11.4965 94.99 94.99 119.95
Atoms (fractional coordinates):
Tb1 0.0000 0.0000 0.0000
Dy1 0.1670 0.8330 0.5000
Dy2 0.5000 0.5000 0.5000
Dy3 0.8330 0.1670 0.5000
Tm1 0.0822 0.4176 0.2451
Tm2 0.2534 0.2534 0.7550
Tm3 0.4176 0.0822 0.2451
Tm4 0.5824 0.9178 0.7549
Tm5 0.7466 0.7466 0.2450
Tm6 0.9178 0.5824 0.7549
Sc1 0.3332 0.6668 0.0000
Sc2 0.6668 0.3332 0.0000

This record from Alexandria describes crystalline TbDyTmSc at its relaxed geometry. The functional is PBE.

Results
VASP energy   -19.63 eV/f.u.
V   118.7 Å³/cell
DFT formation energy   0.1025 eV per atom
Energy above the lowest structure with this stoichiometry   0 meV/atom

Lattice parameters (Å, degrees): 6.6093 6.6093 3.7471 106.45 106.45 49.74
Atoms (fractional coordinates):
Tb1 0.0000 0.0000 0.0000
Dy1 0.7279 0.7279 0.2256
Tm1 0.2661 0.2661 0.7636
Sc1 0.4953 0.4953 0.4939

This record from Alexandria describes crystalline TbDy6Tm2Sc3 at its relaxed geometry. The functional is PBE.

Results
VASP energy   -59.66 eV/f.u.
V   352.7 Å³/cell
DFT formation energy   0.0431 eV per atom

Lattice parameters (Å, degrees): 6.0198 6.0198 11.4101 95.04 95.04 119.96
Atoms (fractional coordinates):
Tb1 0.0000 0.0000 0.0000
Dy1 0.0861 0.4196 0.2581
Dy2 0.2473 0.2473 0.7419
Dy3 0.4196 0.0861 0.2581
Dy4 0.5804 0.9139 0.7419
Dy5 0.7527 0.7527 0.2581
Dy6 0.9139 0.5804 0.7419
Tm1 0.3334 0.6666 0.0000
Tm2 0.6666 0.3334 0.0000
Sc1 0.1668 0.8332 0.5000
Sc2 0.5000 0.5000 0.5000
Sc3 0.8332 0.1668 0.5000

This record from Alexandria describes crystalline Tb2DyTm2Sc2 at its relaxed geometry. The functional is PBE.

Results
VASP energy   -34.71 eV/f.u.
V   207.4 Å³/cell
DFT formation energy   0.1079 eV per atom

Lattice parameters (Å, degrees): 5.8705 5.8705 11.4554 107.87 107.87 33.68
Atoms (fractional coordinates):
Tb1 0.1716 0.1716 0.0878
Tb2 0.8284 0.8284 0.9122
Dy1 0.5000 0.5000 0.5000
Tm1 0.0477 0.0477 0.7687
Tm2 0.9523 0.9523 0.2313
Sc1 0.2727 0.2727 0.6340
Sc2 0.7273 0.7273 0.3660

This record from Alexandria describes crystalline TbDy6TmSc2 at its relaxed geometry. The functional is PBE.

Results
VASP energy   -48.12 eV/f.u.
V   608.2 Å³/cell
DFT formation energy   0.1256 eV per atom

Lattice parameters (Å, degrees): 8.6028 8.6028 9.3228 93.52 93.52 117.42
Atoms (fractional coordinates):
Tb1 0.0275 0.9725 0.7500
Tb2 0.9725 0.0275 0.2500
Dy1 0.0154 0.5600 0.6812
Dy2 0.1187 0.7578 0.0540
Dy3 0.2422 0.8813 0.4460
Dy4 0.2965 0.5065 0.8833
Dy5 0.4400 0.9846 0.8188
Dy6 0.4935 0.7035 0.6167
Dy7 0.5065 0.2965 0.3833
Dy8 0.5600 0.0154 0.1812
Dy9 0.7035 0.4935 0.1167
Dy10 0.7578 0.1187 0.5540
Dy11 0.8813 0.2422 0.9460
Dy12 0.9846 0.4400 0.3188
Tm1 0.4084 0.5916 0.2500
Tm2 0.5916 0.4084 0.7500
Sc1 0.1984 0.3045 0.5480
Sc2 0.3045 0.1984 0.0480
Sc3 0.6955 0.8016 0.9520
Sc4 0.8016 0.6955 0.4520

This record from Alexandria describes crystalline Tb2DyTm2Sc at its relaxed geometry. The functional is PBE.

Results
VASP energy   -28.56 eV/f.u.
V   358.4 Å³/cell
DFT formation energy   0.0964 eV per atom

Lattice parameters (Å, degrees): 6.8606 9.5118 5.4920 90.00 90.00 90.00
Atoms (fractional coordinates):
Tb1 0.2467 0.1667 0.0000
Tb2 0.2533 0.6667 0.5000
Tb3 0.7467 0.3333 0.5000
Tb4 0.7533 0.8333 0.0000
Dy1 0.0000 0.5000 0.0000
Dy2 0.5000 0.0000 0.5000
Tm1 0.2486 0.8335 0.0000
Tm2 0.2514 0.3335 0.5000
Tm3 0.7486 0.6665 0.5000
Tm4 0.7514 0.1665 0.0000
Sc1 0.0000 0.0000 0.5000
Sc2 0.5000 0.5000 0.0000

This record from Alexandria describes crystalline TbDy2TmSc2 at its relaxed geometry. The functional is PBE.

Results
VASP energy   -30.54 eV/f.u.
V   347.1 Å³/cell
DFT formation energy   0.0719 eV per atom

Lattice parameters (Å, degrees): 6.8299 9.3654 5.4270 90.00 90.00 90.00
Atoms (fractional coordinates):
Tb1 0.0000 0.0000 0.0000
Tb2 0.5000 0.5000 0.5000
Dy1 0.2480 0.3333 0.0000
Dy2 0.2520 0.8333 0.5000
Dy3 0.7480 0.1667 0.5000
Dy4 0.7520 0.6667 0.0000
Tm1 0.0000 0.5000 0.5000
Tm2 0.5000 0.0000 0.0000
Sc1 0.2497 0.1668 0.5000
Sc2 0.2503 0.6668 0.0000
Sc3 0.7497 0.3332 0.0000
Sc4 0.7503 0.8332 0.5000

This record from Alexandria describes crystalline Tb2Dy5TmSc at its relaxed geometry. The functional is PBE.

Results
VASP energy   -41.63 eV/f.u.
V   565.1 Å³/cell
DFT formation energy   0.1604 eV per atom

Lattice parameters (Å, degrees): 10.3456 10.3456 10.3053 90.00 90.00 149.18
Atoms (fractional coordinates):
Tb1 0.1115 0.8885 0.5000
Tb2 0.1145 0.8855 0.9249
Tb3 0.8855 0.1145 0.4249
Tb4 0.8885 0.1115 0.0000
Dy1 0.0168 0.9832 0.2037
Dy2 0.2744 0.7256 0.5091
Dy3 0.3002 0.6998 0.8925
Dy4 0.3746 0.6254 0.2086
Dy5 0.4830 0.5170 0.9290
Dy6 0.5170 0.4830 0.4290
Dy7 0.6254 0.3746 0.7086
Dy8 0.6998 0.3002 0.3925
Dy9 0.7256 0.2744 0.0091
Dy10 0.9832 0.0168 0.7037
Tm1 0.4072 0.5928 0.6461
Tm2 0.5928 0.4072 0.1461
Sc1 0.1945 0.8055 0.2035
Sc2 0.8055 0.1945 0.7035